Entry 1:
Here is a relaxed BaPt2Pb5 crystal from Alexandria. Energies are from GGA-PBE.

Output
**SG**: No. 71
**Energy of formation from the pure elements**: -0.29 eV/atom
**DOS(E_F)**: 3.91 states/eV/cell

Cell lengths 4.643, 7.603, 7.603 Å; angles 69.11, 72.22, 72.22 degrees
Positions (direct):
Pb 0.000 0.500 0.500
Pb 0.657 0.150 0.537
Pb 0.343 0.463 0.850
Pb 0.343 0.850 0.463
Pb 0.657 0.537 0.150
Ba 0.000 0.000 0.000
Pt 0.256 0.244 0.244
Pt 0.744 0.756 0.756


Entry 2:
Here is a relaxed Ba2PtPb crystal from Alexandria. Energies are from GGA-PBE.

Output
**SG**: No. 38
**Energy of formation from the pure elements**: -0.56 eV/atom
**DOS(E_F)**: 2.02 states/eV/cell

Cell lengths 4.918, 5.133, 6.362 Å; angles 66.21, 90.00, 90.00 degrees
Positions (direct):
Pt 0.500 0.562 0.750
Pb 0.000 0.680 0.515
Ba 0.000 0.983 0.909
Ba 0.500 0.275 0.326


Entry 3:
Here is a relaxed BaPt3Pb crystal from Alexandria. Energies are from GGA-PBE.

Output
**SG**: No. 221
**Energy of formation from the pure elements**: 0.11 eV/atom
**DOS(E_F)**: 3.44 states/eV/cell
**Polymorph energy (0 for the lowest one)**: 0 meV/atom

Cell lengths 5.197, 5.197, 5.197 Å; angles 90.00, 90.00, 90.00 degrees
Positions (direct):
Pt 0.000 0.500 0.000
Pt 0.000 0.000 0.500
Pt 0.500 0.000 0.000
Pb 0.000 0.000 0.000
Ba 0.500 0.500 0.500


Entry 4:
Here is a relaxed Ba3Pt2Pb4 crystal from Alexandria. Energies are from GGA-PBE.

Output
**SG**: No. 12
**Energy of formation from the pure elements**: -0.56 eV/atom
**DOS(E_F)**: 4.36 states/eV/cell

Cell lengths 5.118, 6.564, 9.927 Å; angles 103.83, 90.00, 112.95 degrees
Positions (direct):
Ba 0.610 0.220 0.692
Ba 0.000 0.000 0.000
Ba 0.390 0.780 0.308
Pb 0.715 0.430 0.077
Pb 0.874 0.747 0.577
Pb 0.126 0.253 0.423
Pb 0.285 0.570 0.923
Pt 0.324 0.648 0.661
Pt 0.676 0.352 0.339